[1]
# YErSnSe GGA-PBE relaxed
data_YErSnSe
_space_group_name_H-M_alt 'P 1'
_space_group_IT_number 1
_space_group_name_Hall 'P 1'
_cell_length_a 4.247
_cell_length_b 4.248
_cell_length_c 5.985
_cell_angle_alpha 90.00
_cell_angle_beta 90.00
_cell_angle_gamma 90.00
loop_
_atom_site_label
_atom_site_type_symbol
_atom_site_fract_x
_atom_site_fract_y
_atom_site_fract_z
Sn1 Sn 0.500 0.392 0.592
Er1 Er 0.500 0.391 0.093
Y1 Y 0.000 0.892 0.592
Se1 Se 0.000 0.891 0.092
# formation energy without anion corrections: -1.23 eV/atom
# mass density: 6981 kg/m³
# calculated total energy: -5.86 eV per atom

[2]
# LaNd2Sm5Tm GGA-PBE relaxed
data_LaNd2Sm5Tm
_space_group_name_H-M_alt 'P 1'
_space_group_IT_number 1
_space_group_name_Hall 'P 1'
_cell_length_a 8.885
_cell_length_b 8.885
_cell_length_c 10.088
_cell_angle_alpha 116.13
_cell_angle_beta 116.13
_cell_angle_gamma 90.00
loop_
_atom_site_label
_atom_site_type_symbol
_atom_site_fract_x
_atom_site_fract_y
_atom_site_fract_z
Tm1 Tm 0.250 0.750 0.500
Tm2 Tm 0.750 0.250 0.500
La1 La 0.750 0.750 0.500
La2 La 0.250 0.250 0.500
Sm1 Sm 0.000 0.000 0.000
Sm2 Sm 0.346 0.846 0.275
Sm3 Sm 0.072 0.572 0.725
Sm4 Sm 0.654 0.154 0.725
Sm5 Sm 0.572 0.654 0.725
Sm6 Sm 0.846 0.928 0.275
Sm7 Sm 0.428 0.346 0.275
Sm8 Sm 0.500 0.500 0.000
Sm9 Sm 0.928 0.428 0.275
Sm10 Sm 0.154 0.072 0.725
Nd1 Nd 0.617 0.117 0.000
Nd2 Nd 0.117 0.383 0.000
Nd3 Nd 0.883 0.617 0.000
Nd4 Nd 0.383 0.883 0.000
# calculated formation energy: 266.9 meV/atom
# mass density: 7186 kg/m³
# calculated total energy: -4.46 eV per atom

[3]
# Pa5GeSe4 GGA-PBE relaxed
data_Pa5GeSe4
_space_group_name_H-M_alt 'P 1'
_space_group_IT_number 1
_space_group_name_Hall 'P 1'
_cell_length_a 4.241
_cell_length_b 5.774
_cell_length_c 10.449
_cell_angle_alpha 106.04
_cell_angle_beta 101.71
_cell_angle_gamma 90.00
loop_
_atom_site_label
_atom_site_type_symbol
_atom_site_fract_x
_atom_site_fract_y
_atom_site_fract_z
Se1 Se 0.600 0.600 0.200
Se2 Se 0.201 0.201 0.402
Se3 Se 0.799 0.799 0.598
Se4 Se 0.400 0.400 0.800
Pa1 Pa 0.200 0.700 0.399
Pa2 Pa 0.000 0.500 0.000
Pa3 Pa 0.399 0.899 0.798
Pa4 Pa 0.800 0.300 0.601
Pa5 Pa 0.601 0.101 0.202
Ge1 Ge 0.000 0.000 0.000
# formation energy without anion corrections: -1.08 eV/atom
# mass density: 10664 kg/m³
# calculated total energy: -7.68 eV per atom

[4]
# Hf2SbC GGA-PBE relaxed
data_Hf2SbC
_space_group_name_H-M_alt 'P 1'
_space_group_IT_number 1
_space_group_name_Hall 'P 1'
_cell_length_a 3.419
_cell_length_b 3.419
_cell_length_c 7.302
_cell_angle_alpha 76.46
_cell_angle_beta 76.46
_cell_angle_gamma 60.00
loop_
_atom_site_label
_atom_site_type_symbol
_atom_site_fract_x
_atom_site_fract_y
_atom_site_fract_z
Hf1 Hf 0.722 0.722 0.834
Hf2 Hf 0.278 0.278 0.166
Sb1 Sb 0.500 0.500 0.500
C1 C 0.000 0.000 0.000
# formation energy without anion corrections: -0.69 eV/atom
# mass density: 11449 kg/m³
# calculated total energy: -9.00 eV per atom

[5]
# YScGe2 GGA-PBE relaxed
data_YScGe2
_space_group_name_H-M_alt 'P 1'
_space_group_IT_number 1
_space_group_name_Hall 'P 1'
_cell_length_a 7.518
_cell_length_b 7.518
_cell_length_c 6.230
_cell_angle_alpha 52.89
_cell_angle_beta 52.89
_cell_angle_gamma 90.00
loop_
_atom_site_label
_atom_site_type_symbol
_atom_site_fract_x
_atom_site_fract_y
_atom_site_fract_z
Ge1 Ge 0.609 0.125 0.250
Ge2 Ge 0.141 0.625 0.250
Ge3 Ge 0.875 0.859 0.750
Ge4 Ge 0.375 0.391 0.750
Sc1 Sc 0.250 0.750 0.500
Sc2 Sc 0.500 0.500 0.000
Y1 Y 0.750 0.250 0.500
Y2 Y 0.000 0.000 0.000
# energy above the lowest structure with this stoichiometry: 352 meV per atom
# calculated formation energy: -482.6 meV/atom
# mass density: 5050 kg/m³
# calculated total energy: -5.99 eV per atom

[6]
# YSiPt6 GGA-PBE relaxed
data_YSiPt6
_space_group_name_H-M_alt 'P 1'
_space_group_IT_number 1
_space_group_name_Hall 'P 1'
_cell_length_a 4.046
_cell_length_b 4.046
_cell_length_c 7.953
_cell_angle_alpha 90.00
_cell_angle_beta 90.00
_cell_angle_gamma 90.00
loop_
_atom_site_label
_atom_site_type_symbol
_atom_site_fract_x
_atom_site_fract_y
_atom_site_fract_z
Pt1 Pt 0.500 0.500 0.000
Pt2 Pt 0.500 0.000 0.269
Pt3 Pt 0.000 0.500 0.269
Pt4 Pt 0.500 0.000 0.731
Pt5 Pt 0.000 0.500 0.731
Pt6 Pt 0.500 0.500 0.500
Si1 Si 0.000 0.000 0.500
Y1 Y 0.000 0.000 0.000
# energy above the lowest structure with this stoichiometry: 0 meV per atom
# formation energy without anion corrections: -0.65 eV/atom
# mass density: 16425 kg/m³
# calculated total energy: -6.67 eV per atom

Number 1: magnetic moment 0.00 Bohr magnetons per cell. Number 2: magnetic moment 0.00 Bohr magnetons per cell. Number 3: magnetic moment 1.39 Bohr magnetons per cell. Number 4: magnetic moment 0.00 Bohr magnetons per cell. Number 5: magnetic moment 0.00 Bohr magnetons per cell. Number 6: magnetic moment 0.00 Bohr magnetons per cell.